## SrTh3As4 (PBE-GGA)

Data for SrTh3As4 after structural relaxation.

Structure (POSCAR):
```
SrTh3As4
1.0
-0.337 4.088 -1.233
-4.372 -1.541 -3.913
-5.950 1.353 6.115
Th As Sr
3 4 1
Direct
0.000 0.000 0.500 Th
0.500 0.500 0.250 Th
0.500 0.500 0.750 Th
0.000 0.500 0.000 As
0.500 0.000 0.740 As
0.000 0.500 0.500 As
0.500 0.000 0.260 As
0.000 0.000 0.000 Sr
```

Its symmetry is No. 47. Its formation energy is -10.945 eV per formula unit.